# AcVO3

AcVO3 after structural relaxation (PBE+U, Alexandria via LeMat-Bulk).

Values from the calculation:
* total DFT energy (no corrections): -158.175 eV/cell
* symmetry: P2_1/c, No. 14

Geometry as POSCAR:
```
AcVO3
1.0
7.6387 0.0000 0.0000
0.0000 6.4836 0.0000
-3.3396 0.0000 6.4344
Ac V O
4 4 12
Direct
0.1309 0.2384 0.0582
0.1309 0.2616 0.5582
0.8691 0.7384 0.4418
0.8691 0.7616 0.9418
0.3236 0.6486 0.9134
0.3236 0.8514 0.4134
0.6764 0.1486 0.5866
0.6764 0.3514 0.0866
0.0215 0.5359 0.7777
0.0215 0.9641 0.2777
0.2614 0.7152 0.6239
0.2614 0.7848 0.1239
0.3793 0.1573 0.4387
0.3793 0.3427 0.9387
0.6207 0.6573 0.0613
0.6207 0.8427 0.5613
0.7386 0.2152 0.8761
0.7386 0.2848 0.3761
0.9785 0.0359 0.7223
0.9785 0.4641 0.2223
```